Below is Pr4AlTeI2 after structural relaxation, with properties calculated at the PBE level.

Output
Formation energy (no corrections) (eV/f.u.): -7.3

Unit cell a=7.9063 b=4.5016 c=8.0763 alpha=90.00 beta=108.87 gamma=90.00
Atoms (fractional coordinates):
Pr1 0.2198 0.0000 0.2102
Pr2 0.2414 0.5000 0.7872
Pr3 0.7586 0.5000 0.2128
Pr4 0.7802 0.0000 0.7898
Al1 0.0000 0.5000 0.0000
Te1 0.5000 0.0000 0.0000
I1 0.0000 0.0000 0.5000
I2 0.5000 0.5000 0.5000


Below is Al3PtI after structural relaxation, with properties calculated at the PBE level.

Output
E above lowest polymorph (eV per atom): 0.000
Formation energy (no corrections) (eV/f.u.): -2.1

Unit cell a=4.9124 b=4.9124 c=4.9124 alpha=90.00 beta=90.00 gamma=90.00
Atoms (fractional coordinates):
Al1 0.0000 0.0000 0.5000
Al2 0.0000 0.5000 0.0000
Al3 0.5000 0.0000 0.0000
Pt1 0.0000 0.0000 0.0000
I1 0.5000 0.5000 0.5000


Below is Al2PtI after structural relaxation, with properties calculated at the PBE level.

Output
E above lowest polymorph (eV per atom): 0.590
Formation energy (no corrections) (eV/f.u.): 1.5

Unit cell a=4.8427 b=4.8427 c=4.8427 alpha=60.00 beta=60.00 gamma=60.00
Atoms (fractional coordinates):
Al1 0.2500 0.2500 0.2500
Al2 0.7500 0.7500 0.7500
Pt1 0.0000 0.0000 0.0000
I1 0.5000 0.5000 0.5000


Below is AlPt2I after structural relaxation, with properties calculated at the PBE level.

Output
E above lowest polymorph (eV per atom): 0.189
Formation energy (no corrections) (eV/f.u.): 0.8

Unit cell a=4.7129 b=4.7129 c=4.7129 alpha=60.00 beta=60.00 gamma=60.00
Atoms (fractional coordinates):
Al1 0.0000 0.0000 0.0000
Pt1 0.2500 0.2500 0.2500
Pt2 0.7500 0.7500 0.7500
I1 0.5000 0.5000 0.5000


Below is AlPt3I after structural relaxation, with properties calculated at the PBE level.

Output
E above lowest polymorph (eV per atom): 0.628
Formation energy (no corrections) (eV/f.u.): 5.4

Unit cell a=5.0028 b=5.0028 c=5.0028 alpha=90.00 beta=90.00 gamma=90.00
Atoms (fractional coordinates):
Al1 0.0000 0.0000 0.0000
Pt1 0.0000 0.5000 0.5000
Pt2 0.5000 0.0000 0.5000
Pt3 0.5000 0.5000 0.0000
I1 0.5000 0.5000 0.5000


Below is AlPt3I after structural relaxation, with properties calculated at the PBE level.

Output
E above lowest polymorph (eV per atom): 0.000
Formation energy (no corrections) (eV/f.u.): 2.2

Unit cell a=4.6880 b=4.6880 c=4.6880 alpha=90.00 beta=90.00 gamma=90.00
Atoms (fractional coordinates):
Al1 0.0000 0.0000 0.0000
Pt1 0.0000 0.0000 0.5000
Pt2 0.0000 0.5000 0.0000
Pt3 0.5000 0.0000 0.0000
I1 0.5000 0.5000 0.5000


Below is Al2PtI after structural relaxation, with properties calculated at the PBE level.

Output
E above lowest polymorph (eV per atom): 0.000
Formation energy (no corrections) (eV/f.u.): -0.9

Unit cell a=7.5536 b=7.5536 c=7.5536 alpha=131.71 beta=131.71 gamma=70.69
Atoms (fractional coordinates):
Al1 0.0298 0.6250 0.9048
Al2 0.3750 0.2798 0.4048
Al3 0.7202 0.1250 0.0952
Al4 0.8750 0.9702 0.5952
Pt1 0.0000 0.0000 0.0000
Pt2 0.7500 0.2500 0.5000
I1 0.2500 0.7500 0.5000
I2 0.5000 0.5000 0.0000


Below is AlPt2I after structural relaxation, with properties calculated at the PBE level.

Output
E above lowest polymorph (eV per atom): 0.000
Formation energy (no corrections) (eV/f.u.): 0.0

Unit cell a=8.4702 b=8.4702 c=8.4702 alpha=147.07 beta=147.07 gamma=47.26
Atoms (fractional coordinates):
Al1 0.0000 0.0000 0.0000
Al2 0.7500 0.2500 0.5000
Pt1 0.0585 0.6250 0.9335
Pt2 0.3750 0.3085 0.4335
Pt3 0.6915 0.1250 0.0665
Pt4 0.8750 0.9415 0.5665
I1 0.2500 0.7500 0.5000
I2 0.5000 0.5000 0.0000